<P>
Computed, not measured: an optimized crystal structure of PrZn2Cu4 at the PBE level of DFT.

Geometry as POSCAR:
```
PrZn2Cu4
1.0
5.748 -0.569 0.000
-2.841 5.030 0.000
-1.454 -2.230 5.126
Cu Pr Zn
4 1 2
Direct
0.273 0.500 0.773
0.727 0.500 0.227
0.500 0.273 0.773
0.500 0.727 0.227
0.000 0.000 0.000
0.750 0.250 0.500
0.250 0.750 0.500
```

Properties
space group	No. 139

=====

<Q>
Computed, not measured: an optimized crystal structure of PrZn2Cu4 at the PBE level of DFT.

Geometry as POSCAR:
```
PrZn2Cu4
1.0
-0.430 -0.627 5.045
3.353 -3.266 2.460
2.712 3.209 3.210
Cu Zn Pr
4 2 1
Direct
0.689 0.622 0.000
0.311 0.000 0.378
0.311 0.378 0.000
0.689 0.000 0.622
0.750 0.500 0.500
0.250 0.500 0.500
0.000 0.000 0.000
```

Properties
space group	No. 139

=====

Stability, lowest: <P>

=====

<P>
Computed, not measured: an optimized crystal structure of Pr3Zn2Cu3 at the PBE level of DFT.

Geometry as POSCAR:
```
Pr3Zn2Cu3
1.0
-4.552 -2.214 -2.639
-2.106 -3.737 6.769
-8.313 12.170 4.132
Cu Zn Pr
12 8 12
Direct
0.399 0.678 0.537
0.399 0.678 0.963
0.899 0.822 0.463
0.601 0.322 0.463
0.601 0.322 0.037
0.398 0.674 0.250
0.102 0.174 0.250
0.101 0.178 0.963
0.898 0.826 0.750
0.899 0.822 0.037
0.101 0.178 0.537
0.602 0.326 0.750
0.637 0.612 0.399
0.137 0.888 0.601
0.137 0.888 0.899
0.863 0.112 0.101
0.637 0.612 0.101
0.363 0.388 0.899
0.863 0.112 0.399
0.363 0.388 0.601
0.881 0.821 0.250
0.855 0.546 0.896
0.119 0.179 0.750
0.645 0.046 0.604
0.355 0.954 0.104
0.145 0.454 0.104
0.145 0.454 0.396
0.645 0.046 0.896
0.855 0.546 0.604
0.381 0.679 0.750
0.355 0.954 0.396
0.619 0.321 0.250
```

Properties
space group	No. 62

=====

<Q>
Computed, not measured: an optimized crystal structure of Pr3Zn2Cu3 at the PBE level of DFT.

Geometry as POSCAR:
```
Pr3Zn2Cu3
1.0
4.501 0.000 0.000
-2.250 5.274 0.000
0.000 0.000 14.596
Cu Zn Pr
6 4 6
Direct
0.680 0.360 0.750
0.610 0.220 0.039
0.610 0.220 0.461
0.320 0.640 0.250
0.390 0.780 0.961
0.390 0.780 0.539
0.201 0.401 0.097
0.799 0.599 0.903
0.799 0.599 0.597
0.201 0.401 0.403
0.612 0.224 0.250
0.902 0.803 0.103
0.388 0.776 0.750
0.098 0.197 0.897
0.902 0.803 0.397
0.098 0.197 0.603
```

Properties
space group	No. 63

=====

Stability, lowest: <P>

=====

<P>
Computed, not measured: an optimized crystal structure of Cu5Pt2 at the PBE level of DFT.

Geometry as POSCAR:
```
Cu5Pt2
1.0
3.822 0.000 0.000
0.000 5.860 0.009
-1.911 -0.589 4.103
Cu Pt
5 2
Direct
0.571 0.714 0.143
0.434 0.285 0.867
0.146 0.420 0.293
0.709 0.144 0.419
0.997 0.009 0.993
0.281 0.867 0.561
0.862 0.562 0.724
```

Properties
space group	No. 12

=====

<Q>
Computed, not measured: an optimized crystal structure of Cu5Pt2 at the PBE level of DFT.

Geometry as POSCAR:
```
Cu5Pt2
1.0
4.526 0.000 0.000
-2.263 5.904 -0.590
0.000 0.363 6.857
Cu Pt
10 4
Direct
0.453 0.570 0.183
0.173 0.000 0.750
0.883 0.430 0.317
0.547 0.430 0.817
0.977 0.294 0.963
0.023 0.706 0.037
0.827 0.000 0.250
0.682 0.706 0.537
0.117 0.570 0.683
0.318 0.294 0.463
0.753 0.153 0.605
0.600 0.847 0.895
0.400 0.153 0.105
0.247 0.847 0.395
```

Properties
space group	No. 15

=====

Stability, lowest: <Q>

=====

<P>
Computed, not measured: an optimized crystal structure of Cu7Pt5 at the PBE level of DFT.

Geometry as POSCAR:
```
Cu7Pt5
1.0
6.580 0.024 0.000
0.059 4.640 0.000
0.000 0.000 5.396
Cu Pt
7 5
Direct
0.328 0.839 0.250
0.331 0.337 0.490
0.003 0.996 0.010
0.003 0.996 0.490
0.006 0.494 0.250
0.331 0.337 0.010
0.667 0.167 0.250
0.667 0.667 0.495
0.324 0.848 0.750
0.667 0.667 0.005
0.009 0.486 0.750
0.667 0.167 0.750
```

Properties
space group	No. 10

=====

<Q>
Computed, not measured: an optimized crystal structure of Cu7Pt5 at the PBE level of DFT.

Geometry as POSCAR:
```
Cu7Pt5
1.0
-0.455 2.580 0.727
-12.025 -3.148 3.638
1.538 -0.949 4.329
Cu Pt
7 5
Direct
0.500 0.490 0.495
0.500 0.167 0.172
0.500 0.012 0.500
0.000 0.490 0.004
0.000 0.329 0.333
0.000 0.013 0.003
0.000 0.166 0.661
0.000 0.846 0.334
0.500 0.656 0.166
0.500 0.328 0.832
0.000 0.656 0.666
0.500 0.847 0.834
```

Properties
space group	No. 6

=====

Stability, lowest: <Q>

=====

<P>
Computed, not measured: an optimized crystal structure of Cu5Pt7 at the PBE level of DFT.

Geometry as POSCAR:
```
Cu5Pt7
1.0
6.087 -0.007 -0.003
-0.582 6.059 0.003
0.608 -0.553 4.655
Pt Cu
7 5
Direct
0.488 0.488 0.500
0.668 0.668 0.000
0.410 0.927 0.751
0.755 0.248 0.754
0.838 0.838 0.500
0.248 0.755 0.246
0.927 0.410 0.249
0.329 0.329 0.000
0.167 0.167 0.500
0.582 0.086 0.249
0.002 0.002 0.000
0.086 0.582 0.751
```

Properties
space group	No. 5

=====

<Q>
Computed, not measured: an optimized crystal structure of Cu5Pt7 at the PBE level of DFT.

Geometry as POSCAR:
```
Cu5Pt7
1.0
7.728 0.000 0.000
0.000 2.738 0.000
0.000 0.000 8.138
Pt Cu
7 5
Direct
0.004 0.000 0.326
0.496 0.000 0.674
0.750 0.500 0.836
0.250 0.500 0.500
0.004 0.000 0.674
0.750 0.500 0.164
0.496 0.000 0.326
0.750 0.500 0.500
0.250 0.500 0.845
0.250 0.500 0.155
0.492 0.000 0.000
0.008 0.000 0.000
```

Properties
space group	No. 47

=====

<R>
Computed, not measured: an optimized crystal structure of Cu5Pt7 at the PBE level of DFT.

Geometry as POSCAR:
```
Cu5Pt7
1.0
-2.897 -2.217 -1.075
1.439 -5.178 6.801
-3.553 3.911 1.509
Cu Pt
5 7
Direct
0.500 0.162 0.331
0.500 0.168 0.834
0.000 0.005 0.501
0.000 0.005 0.004
0.500 0.494 0.997
0.500 0.855 0.677
0.000 0.320 0.664
0.000 0.668 0.332
0.000 0.668 0.835
0.500 0.842 0.171
0.000 0.320 0.156
0.500 0.495 0.497
```

Properties
space group	No. 38

=====

Stability, lowest: <R>

=====

<P>
Computed, not measured: an optimized crystal structure of Cu3Pt7 at the PBE level of DFT.

Geometry as POSCAR:
```
Cu3Pt7
1.0
-0.897 -4.055 3.328
7.878 -2.266 -2.374
-0.336 4.066 5.989
Cu Pt
6 14
Direct
0.497 0.313 0.556
0.903 0.708 0.153
0.700 0.512 0.355
0.283 0.590 0.847
0.001 0.807 0.548
0.302 0.109 0.746
0.380 0.690 0.248
0.986 0.293 0.651
0.684 0.988 0.447
0.581 0.884 0.044
0.077 0.394 0.048
0.484 0.787 0.645
0.201 0.008 0.355
0.180 0.493 0.453
0.103 0.907 0.943
0.873 0.195 0.256
0.398 0.214 0.154
0.786 0.090 0.847
0.596 0.412 0.954
0.801 0.605 0.748
```

Properties
space group	No. 1

=====

<Q>
Computed, not measured: an optimized crystal structure of Cu3Pt7 at the PBE level of DFT.

Geometry as POSCAR:
```
Cu3Pt7
1.0
3.862 0.000 0.000
0.000 5.538 0.162
-1.931 -1.633 6.823
Pt Cu
7 3
Direct
0.602 0.300 0.205
0.398 0.700 0.795
0.599 0.799 0.199
0.000 0.500 0.000
0.401 0.201 0.801
0.200 0.102 0.401
0.800 0.898 0.599
0.000 0.000 0.000
0.799 0.404 0.597
0.201 0.596 0.403
```

Properties
space group	No. 12

=====

Stability, lowest: <P>

=====

<P>
Computed, not measured: an optimized crystal structure of Cu5Pt3 at the PBE level of DFT.

Geometry as POSCAR:
```
Cu5Pt3
1.0
-0.629 -3.471 -3.980
4.991 0.741 -1.682
1.184 -2.819 2.271
Cu Pt
5 3
Direct
0.500 0.000 0.000
0.250 0.750 0.500
0.750 0.250 0.500
0.000 0.000 0.000
0.000 0.500 0.000
0.759 0.759 0.500
0.500 0.500 0.000
0.241 0.241 0.500
```

Properties
space group	No. 65

=====

<Q>
Computed, not measured: an optimized crystal structure of Cu5Pt3 at the PBE level of DFT.

Geometry as POSCAR:
```
Cu5Pt3
1.0
7.011 0.010 -0.020
-5.396 4.477 -0.020
-0.610 -1.694 7.141
Pt Cu
6 10
Direct
0.712 0.790 0.000
0.290 0.212 0.000
0.172 0.329 0.501
0.597 0.097 0.850
0.403 0.903 0.151
0.829 0.672 0.501
0.828 0.523 0.162
0.754 0.254 0.521
0.597 0.768 0.324
0.023 0.328 0.162
0.268 0.097 0.324
0.733 0.904 0.677
0.247 0.747 0.480
0.404 0.233 0.677
0.173 0.478 0.839
0.978 0.673 0.839
```

Properties
space group	No. 12

=====

<R>
Computed, not measured: an optimized crystal structure of Cu5Pt3 at the PBE level of DFT.

Geometry as POSCAR:
```
Cu5Pt3
1.0
7.446 0.003 0.000
-3.727 6.446 0.000
0.000 0.000 4.700
Cu Pt
10 6
Direct
0.000 0.216 0.250
0.000 0.784 0.750
0.785 0.785 0.250
0.667 0.333 0.500
0.215 0.215 0.750
0.216 0.000 0.250
0.333 0.667 0.000
0.784 0.000 0.750
0.333 0.667 0.500
0.667 0.333 0.000
0.000 0.397 0.750
0.397 0.000 0.750
0.397 0.397 0.250
0.603 0.000 0.250
0.000 0.603 0.250
0.603 0.603 0.750
```

Properties
space group	No. 193

=====

Stability, lowest: <R>

=====

<P>
Computed, not measured: an optimized crystal structure of Cu4Pt3 at the PBE level of DFT.

Geometry as POSCAR:
```
Cu4Pt3
1.0
2.719 0.000 0.000
1.360 9.664 -0.008
0.000 -0.715 3.656
Pt Cu
3 4
Direct
0.563 0.873 0.437
0.291 0.418 0.709
0.145 0.709 0.855
0.427 0.145 0.573
0.717 0.565 0.283
0.861 0.278 0.139
0.995 0.011 0.005
```

Properties
space group	No. 44

=====

<Q>
Computed, not measured: an optimized crystal structure of Cu4Pt3 at the PBE level of DFT.

Geometry as POSCAR:
```
Cu4Pt3
1.0
5.224 0.000 0.000
-1.741 6.485 0.000
-1.741 -3.243 5.616
Cu Pt
8 6
Direct
0.073 0.275 0.415
0.202 0.860 0.275
0.500 0.000 0.000
0.798 0.140 0.725
0.342 0.415 0.140
0.658 0.585 0.860
0.000 0.000 0.000
0.927 0.725 0.585
0.151 0.568 0.855
0.705 0.855 0.287
0.295 0.145 0.713
0.418 0.713 0.568
0.849 0.432 0.145
0.582 0.287 0.432
```

Properties
space group	No. 148

=====

Stability, lowest: <P>

=====

<P>
Computed, not measured: an optimized crystal structure of Cu4Pt3 at the PBE level of DFT.

Geometry as POSCAR:
```
Cu4Pt3
1.0
-3.403 -10.481 -5.903
0.424 -11.244 -5.447
1.114 10.010 7.405
Cu Pt
4 3
Direct
0.864 0.864 0.000
0.428 0.428 0.000
0.572 0.572 0.000
0.136 0.136 0.000
0.000 0.000 0.000
0.292 0.292 0.000
0.708 0.708 0.000
```

Properties
space group	No. 139

=====

<Q>
Computed, not measured: an optimized crystal structure of Cu4Pt3 at the PBE level of DFT.

Geometry as POSCAR:
```
Cu4Pt3
1.0
1.798 0.913 4.791
-2.859 -4.239 -0.940
3.774 -2.330 -0.972
Cu Pt
4 3
Direct
0.333 0.667 0.500
0.000 0.000 0.248
0.667 0.333 0.500
0.000 0.000 0.752
0.500 0.500 0.000
0.500 0.000 0.000
0.000 0.500 0.000
```

Properties
space group	No. 191

=====

Stability, lowest: <Q>